[1]
ErPaBiN2 | Alexandria | PBE | relaxed; formation energy (no corrections) = -1.440 eV/atom
1.0
-1.9748 1.9748 6.7144
1.9748 -1.9748 6.7144
1.9748 1.9748 -6.7144
Er Pa Bi N
1 1 1 2
direct
0.0000 0.0000 0.0000
0.3440 0.3440 0.0000
0.6693 0.6693 0.0000
0.4146 0.9146 0.5000
0.9146 0.4146 0.5000


[2]
LiScTc | Alexandria | PBE | relaxed; ΔH_f (0 K) = 747.2 meV per atom
1.0
0.0000 2.9663 2.9663
2.9663 0.0000 2.9663
2.9663 2.9663 0.0000
Li Sc Tc
1 1 1
direct
0.0000 0.0000 0.0000
0.2500 0.2500 0.2500
0.7500 0.7500 0.7500


[3]
HgPOs2 | Alexandria | PBE | relaxed; ΔH_f (0 K) = 540.2 meV per atom
1.0
2.9356 0.0000 0.0000
0.0000 4.4954 0.0000
-0.0344 0.0000 5.0653
Hg P Os
1 1 2
direct
0.0000 0.0000 0.0000
0.5001 0.5000 0.7058
0.4979 0.0000 0.4949
0.9961 0.5000 0.3570


What did we get for energy? Answer: -41.792, -16.370, -26.010 eV for the cell shown, in the order shown.